Compound: CsMoCl2
Source: Alexandria
Functional: PBE-GGA
Structure: optimized geometry

Unit cell a=6.284 b=6.284 c=8.015 alpha=66.92 beta=66.92 gamma=90.00
Fractional coordinates of all 8 atoms:
Mo: 0.250 0.750 0.500
Cs: 0.750 0.250 0.500
Cl: 0.466 0.125 0.250
Cl: 0.375 0.534 0.750
Cs: 0.000 0.000 0.000
Mo: 0.500 0.500 0.000
Cl: 0.875 0.716 0.750
Cl: 0.284 0.625 0.250

## Properties
E_form (uncorrected) = -0.78 eV per formula unit
Polymorph energy (0 for the lowest one) = 0.223 eV/atom
Space group = No. 122

Compound: SrLi2TlSn2
Source: Alexandria
Functional: PBE-GGA
Structure: optimized geometry

Unit cell a=4.974 b=4.974 c=6.599 alpha=90.00 beta=90.00 gamma=90.00
Fractional coordinates of all 6 atoms:
Li: 0.000 0.500 0.000
Li: 0.500 0.000 0.000
Tl: 0.000 0.000 0.000
Sn: 0.500 0.500 0.735
Sr: 0.000 0.000 0.500
Sn: 0.500 0.500 0.265

## Properties
Space group = No. 123

no.,VASP energy (eV per atom),DOS at the Fermi energy (states/eV/atom)
1,-4.041,1.10
2,-2.850,0.70